1.
# Er7Zn2Cd2, relaxed, DFT PBE
data_Er7Zn2Cd2
_symmetry_space_group_name_H-M 'P 1'
_symmetry_Int_Tables_number 1
_symmetry_space_group_name_Hall 'P 1'
_cell_length_a 6.662
_cell_length_b 7.503
_cell_length_c 6.662
_cell_angle_alpha 90.00
_cell_angle_beta 111.21
_cell_angle_gamma 90.00
loop_
_atom_site_label
_atom_site_type_symbol
_atom_site_fract_x
_atom_site_fract_y
_atom_site_fract_z
_atom_site_occupancy
Er1 Er 0.000 0.723 0.500 1
Er2 Er 0.500 0.277 0.000 1
Er3 Er 0.500 0.723 0.000 1
Er4 Er 0.000 0.277 0.500 1
Er5 Er 0.500 0.243 0.500 1
Er6 Er 0.000 0.000 0.000 1
Er7 Er 0.500 0.757 0.500 1
Cd1 Cd 0.180 0.500 0.180 1
Cd2 Cd 0.820 0.500 0.820 1
Zn1 Zn 0.709 0.000 0.291 1
Zn2 Zn 0.291 0.000 0.709 1
# **Theoretical density**: 8.2 g/cm3
# **Crystal system**: orthorhombic
# **Size of the total moment**: 0.0 μB per formula unit
# **Symmetry**: No. 65
# **Energy of formation**: 0.2 eV per formula unit

2.
# Cd4Ag4Hg, relaxed, DFT PBE
data_Cd4Ag4Hg
_symmetry_space_group_name_H-M 'P 1'
_symmetry_Int_Tables_number 1
_symmetry_space_group_name_Hall 'P 1'
_cell_length_a 4.334
_cell_length_b 6.781
_cell_length_c 6.781
_cell_angle_alpha 84.14
_cell_angle_beta 71.36
_cell_angle_gamma 71.36
loop_
_atom_site_label
_atom_site_type_symbol
_atom_site_fract_x
_atom_site_fract_y
_atom_site_fract_z
_atom_site_occupancy
Cd1 Cd 0.670 0.000 0.661 1
Cd2 Cd 0.670 0.661 0.000 1
Cd3 Cd 0.330 0.339 0.000 1
Cd4 Cd 0.330 0.000 0.339 1
Hg1 Hg 0.000 0.000 0.000 1
Ag1 Ag 0.000 0.339 0.661 1
Ag2 Ag 0.339 0.661 0.661 1
Ag3 Ag 0.000 0.661 0.339 1
Ag4 Ag 0.661 0.339 0.339 1
# **Theoretical density**: 10.0 g/cm3
# **Crystal system**: tetragonal
# **Size of the total moment**: 0.0 μB per formula unit
# **Energy above the most stable polymorph in this dataset**: 0.00 kcal/mol of atoms
# **Symmetry**: No. 139
# **Energy of formation**: -0.1 eV per formula unit

3.
# Hf8BiC2, relaxed, DFT PBE
data_Hf8BiC2
_symmetry_space_group_name_H-M 'P 1'
_symmetry_Int_Tables_number 1
_symmetry_space_group_name_Hall 'P 1'
_cell_length_a 5.928
_cell_length_b 7.274
_cell_length_c 7.274
_cell_angle_alpha 50.28
_cell_angle_beta 80.07
_cell_angle_gamma 80.07
loop_
_atom_site_label
_atom_site_type_symbol
_atom_site_fract_x
_atom_site_fract_y
_atom_site_fract_z
_atom_site_occupancy
Bi1 Bi 0.000 0.000 0.000 1
C1 C 0.326 0.204 0.204 1
C2 C 0.674 0.796 0.796 1
Hf1 Hf 0.796 0.634 0.634 1
Hf2 Hf 0.687 0.164 0.642 1
Hf3 Hf 0.313 0.358 0.836 1
Hf4 Hf 0.312 0.799 0.799 1
Hf5 Hf 0.688 0.201 0.201 1
Hf6 Hf 0.687 0.642 0.164 1
Hf7 Hf 0.313 0.836 0.358 1
Hf8 Hf 0.204 0.366 0.366 1
# **Theoretical density**: 11.6 g/cm3
# **Crystal system**: monoclinic
# **Size of the total moment**: 0.0 μB per formula unit
# **Symmetry**: No. 12
# **Energy of formation**: 2.0 eV per formula unit

4.
# Al2TeBr, relaxed, DFT PBE
data_Al2TeBr
_symmetry_space_group_name_H-M 'P 1'
_symmetry_Int_Tables_number 1
_symmetry_space_group_name_Hall 'P 1'
_cell_length_a 3.824
_cell_length_b 5.497
_cell_length_c 6.028
_cell_angle_alpha 98.39
_cell_angle_beta 90.00
_cell_angle_gamma 90.00
loop_
_atom_site_label
_atom_site_type_symbol
_atom_site_fract_x
_atom_site_fract_y
_atom_site_fract_z
_atom_site_occupancy
Br1 Br 0.500 0.250 0.250 1
Te1 Te 0.500 0.750 0.750 1
Al1 Al 0.000 0.878 0.078 1
Al2 Al 0.000 0.622 0.422 1
# **Theoretical density**: 3.5 g/cm3
# **Crystal system**: monoclinic
# **Uncorrected formation energy**: -0.16 eV per atom
# **Size of the total moment**: 0.0 μB per formula unit
# **Energy above the most stable polymorph in this dataset**: 3.86 kcal/mol of atoms
# **Symmetry**: No. 10

5.
# ScAl2Co, relaxed, DFT PBE
data_ScAl2Co
_symmetry_space_group_name_H-M 'P 1'
_symmetry_Int_Tables_number 1
_symmetry_space_group_name_Hall 'P 1'
_cell_length_a 4.244
_cell_length_b 2.970
_cell_length_c 5.155
_cell_angle_alpha 76.86
_cell_angle_beta 90.00
_cell_angle_gamma 90.00
loop_
_atom_site_label
_atom_site_type_symbol
_atom_site_fract_x
_atom_site_fract_y
_atom_site_fract_z
_atom_site_occupancy
Sc1 Sc 0.500 0.750 0.750 1
Al1 Al 0.000 0.113 0.025 1
Al2 Al 0.000 0.387 0.475 1
Co1 Co 0.500 0.250 0.250 1
# **Theoretical density**: 4.1 g/cm3
# **Crystal system**: monoclinic
# **Size of the total moment**: 0.0 μB per formula unit
# **Symmetry**: No. 10
# **Energy of formation**: -1.2 eV per formula unit

6.
# CuRe2Si, relaxed, DFT PBE
data_CuRe2Si
_symmetry_space_group_name_H-M 'P 1'
_symmetry_Int_Tables_number 1
_symmetry_space_group_name_Hall 'P 1'
_cell_length_a 2.940
_cell_length_b 2.940
_cell_length_c 6.247
_cell_angle_alpha 90.00
_cell_angle_beta 90.00
_cell_angle_gamma 90.00
loop_
_atom_site_label
_atom_site_type_symbol
_atom_site_fract_x
_atom_site_fract_y
_atom_site_fract_z
_atom_site_occupancy
Cu1 Cu 0.500 0.500 0.719 1
Si1 Si 0.000 0.000 0.514 1
Re1 Re 0.000 0.000 0.998 1
Re2 Re 0.500 0.500 0.269 1
# **Theoretical density**: 14.3 g/cm3
# **Crystal system**: tetragonal
# **Uncorrected formation energy**: 0.04 eV per atom
# **Size of the total moment**: 0.0 μB per formula unit
# **Symmetry**: No. 99